VASP calculation (PBE) on a relaxed LaRh2Au crystal.

symmetry = F-43m

extended XYZ file:
```
4
Lattice="0.000 3.392 3.392 3.392 0.000 3.392 3.392 3.392 0.000" Properties=species:S:1:pos:R:3 pbc="T T T"
La 5.088 5.088 5.088
Rh 0.000 0.000 0.000
Rh 1.696 1.696 1.696
Au 3.392 3.392 3.392
```



VASP calculation (PBE) on a relaxed TaRu2Pb crystal.

symmetry = R3m

extended XYZ file:
```
4
Lattice="-3.700 -2.138 8.543 -4.736 -4.444 7.005 -2.013 -4.539 8.161" Properties=species:S:1:pos:R:3 pbc="T T T"
Pb -7.797 -8.299 17.690
Ru -10.365 -11.032 23.516
Ru -2.661 -2.832 6.037
Ta -5.302 -5.643 12.028
```



VASP calculation (PBE) on a relaxed KTc3Cl crystal.

symmetry = Pm-3m
energy above the lowest structure with this stoichiometry = 0.0 meV/atom
uncorrected formation energy = 719 kJ/mol of formula units

extended XYZ file:
```
5
Lattice="-0.878 1.580 -4.156 1.618 -3.832 -1.799 -4.141 -1.832 0.178" Properties=species:S:1:pos:R:3 pbc="T T T"
K -1.701 -2.042 -2.888
Tc 0.809 -1.916 -0.900
Tc -2.071 -0.916 0.089
Tc -0.439 0.790 -2.078
Cl 0.000 0.000 0.000
```



Number 1: calculated volume 78.1 Å³/cell, E_tot -5.969 eV per atom. Number 2: calculated volume 71.3 Å³/cell, E_tot -8.009 eV per atom. Number 3: calculated volume 93.1 Å³/cell, E_tot -5.317 eV per atom.